<A>
# Pr3NdBi3 PBE-GGA relaxed
# D(E_F) = 1.14 states/eV/atom
# size of the total moment = 0.0 μB/cell
data_Pr3NdBi3
_chemical_formula_sum 'Pr12 Nd4 Bi12'
_cell_length_a 9.7511
_cell_length_b 9.7511
_cell_length_c 9.7511
_cell_angle_alpha 90.00
_cell_angle_beta 90.00
_cell_angle_gamma 90.00
_symmetry_space_group_name_H-M 'P 21 3'
_symmetry_Int_Tables_number 198
_symmetry_space_group_name_Hall 'P 2ac 2ab 3'
loop_
_atom_site_label
_atom_site_type_symbol
_atom_site_fract_x
_atom_site_fract_y
_atom_site_fract_z
Pr1 Pr 0.0702 0.4298 0.5702
Pr2 Pr 0.1789 0.1789 0.1789
Pr3 Pr 0.1786 0.8214 0.3214
Nd1 Nd 0.0710 0.5710 0.9290
Bi1 Bi 0.0003 0.2511 0.8740


<B>
# Pr3NdBi3 PBE-GGA relaxed
# D(E_F) = 0.90 states/eV/atom
# size of the total moment = 0.7 μB/cell
data_Pr3NdBi3
_chemical_formula_sum 'Pr6 Nd2 Bi6'
_cell_length_a 9.5027
_cell_length_b 9.5027
_cell_length_c 6.0482
_cell_angle_alpha 90.00
_cell_angle_beta 90.00
_cell_angle_gamma 120.00
_symmetry_space_group_name_H-M 'P 63/m'
_symmetry_Int_Tables_number 176
_symmetry_space_group_name_Hall '-P 6c'
loop_
_atom_site_label
_atom_site_type_symbol
_atom_site_fract_x
_atom_site_fract_y
_atom_site_fract_z
Pr1 Pr 0.0113 0.2485 0.2500
Nd1 Nd 0.3333 0.6667 0.2500
Bi1 Bi 0.0609 0.4357 0.7500


Energetically preferred structure: <A> | next structure: +230 meV per atom


<A>
# PrNd3Bi2 PBE-GGA relaxed
# D(E_F) = 1.28 states/eV/atom
# size of the total moment = 0.8 μB/cell
data_PrNd3Bi2
_chemical_formula_sum 'Pr4 Nd12 Bi8'
_cell_length_a 19.2680
_cell_length_b 4.5185
_cell_length_c 10.2848
_cell_angle_alpha 90.00
_cell_angle_beta 115.67
_cell_angle_gamma 90.00
_symmetry_space_group_name_H-M 'C 1 2/m 1'
_symmetry_Int_Tables_number 12
loop_
_symmetry_equiv_pos_as_xyz
'x,y,z'
'-x,-y,-z'
'-x,y,-z'
'x,-y,z'
'x+1/2,y+1/2,z'
'-x+1/2,-y+1/2,-z'
'-x+1/2,y+1/2,-z'
'x+1/2,-y+1/2,z'
loop_
_atom_site_label
_atom_site_type_symbol
_atom_site_fract_x
_atom_site_fract_y
_atom_site_fract_z
Pr1 Pr 0.1115 0.0000 0.1188
Nd1 Nd 0.0560 0.0000 0.6720
Nd2 Nd 0.1448 0.5000 0.4729
Nd3 Nd 0.1883 0.5000 0.8905
Bi1 Bi 0.0092 0.5000 0.8448
Bi2 Bi 0.2477 0.0000 0.7177


<B>
# PrNd3Bi2 PBE-GGA relaxed
# D(E_F) = 1.01 states/eV/atom
# size of the total moment = 0.0 μB/cell
data_PrNd3Bi2
_chemical_formula_sum 'Pr1 Nd3 Bi2'
_cell_length_a 4.6764
_cell_length_b 4.6764
_cell_length_c 9.0616
_cell_angle_alpha 90.00
_cell_angle_beta 90.00
_cell_angle_gamma 90.00
_symmetry_space_group_name_H-M 'P -4 m 2'
_symmetry_Int_Tables_number 115
loop_
_symmetry_equiv_pos_as_xyz
'x,y,z'
'y,-x,-z'
'-x,-y,z'
'-y,x,-z'
'-x,y,z'
'-y,-x,-z'
'x,-y,z'
'y,x,-z'
loop_
_atom_site_label
_atom_site_type_symbol
_atom_site_fract_x
_atom_site_fract_y
_atom_site_fract_z
Pr1 Pr 0.0000 0.0000 0.0000
Nd1 Nd 0.0000 0.5000 0.3542
Nd2 Nd 0.5000 0.5000 0.0000
Bi1 Bi 0.0000 0.5000 0.7182


Energetically preferred structure: <B> | next structure: +88 meV per atom


<A>
# PrNd3Bi4 PBE-GGA relaxed
# D(E_F) = 0.14 states/eV/atom
# size of the total moment = 0.0 μB/cell
data_PrNd3Bi4
_chemical_formula_sum 'Pr2 Nd6 Bi8'
_cell_length_a 9.2346
_cell_length_b 13.0579
_cell_length_c 4.6199
_cell_angle_alpha 90.00
_cell_angle_beta 90.00
_cell_angle_gamma 90.00
_symmetry_space_group_name_H-M 'C m m m'
_symmetry_Int_Tables_number 65
_symmetry_space_group_name_Hall '-C 2 2'
loop_
_atom_site_label
_atom_site_type_symbol
_atom_site_fract_x
_atom_site_fract_y
_atom_site_fract_z
Pr1 Pr 0.0000 0.0000 0.0000
Nd1 Nd 0.0000 0.5000 0.0000
Nd2 Nd 0.2500 0.2500 0.5000
Bi1 Bi 0.0000 0.2507 0.0000
Bi2 Bi 0.2487 0.5000 0.5000


<B>
# PrNd3Bi4 PBE-GGA relaxed
# D(E_F) = 0.06 states/eV/atom
# size of the total moment = 0.0 μB/cell
data_PrNd3Bi4
_chemical_formula_sum 'Pr1 Nd3 Bi4'
_cell_length_a 6.5264
_cell_length_b 6.5264
_cell_length_c 6.5264
_cell_angle_alpha 90.00
_cell_angle_beta 90.00
_cell_angle_gamma 90.00
_symmetry_space_group_name_H-M 'P m -3 m'
_symmetry_Int_Tables_number 221
_symmetry_space_group_name_Hall '-P 4 2 3'
loop_
_atom_site_label
_atom_site_type_symbol
_atom_site_fract_x
_atom_site_fract_y
_atom_site_fract_z
Pr1 Pr 0.0000 0.0000 0.0000
Nd1 Nd 0.0000 0.5000 0.5000
Bi1 Bi 0.0000 0.0000 0.5000
Bi2 Bi 0.5000 0.5000 0.5000


Energetically preferred structure: <B> | next structure: +6 meV per atom


<A>
# NdPuBi2 PBE-GGA relaxed
# D(E_F) = 3.97 states/eV/atom
# size of the total moment = 15.3 μB/cell
data_NdPuBi2
_chemical_formula_sum 'Nd3 Pu3 Bi6'
_cell_length_a 4.5741
_cell_length_b 4.5741
_cell_length_c 22.4104
_cell_angle_alpha 90.00
_cell_angle_beta 90.00
_cell_angle_gamma 120.00
_symmetry_space_group_name_H-M 'R -3 m'
_symmetry_Int_Tables_number 166
_symmetry_space_group_name_Hall '-R 3 2"'
loop_
_atom_site_label
_atom_site_type_symbol
_atom_site_fract_x
_atom_site_fract_y
_atom_site_fract_z
Nd1 Nd 0.0000 0.0000 0.0000
Pu1 Pu 0.0000 0.0000 0.5000
Bi1 Bi 0.0000 0.0000 0.2478


<B>
# NdPuBi2 PBE-GGA relaxed
# D(E_F) = 2.77 states/eV/atom
# size of the total moment = 5.9 μB/cell
data_NdPuBi2
_chemical_formula_sum 'Nd1 Pu1 Bi2'
_cell_length_a 3.7617
_cell_length_b 3.7617
_cell_length_c 8.5261
_cell_angle_alpha 90.00
_cell_angle_beta 90.00
_cell_angle_gamma 90.00
_symmetry_space_group_name_H-M 'P 4/m m m'
_symmetry_Int_Tables_number 123
_symmetry_space_group_name_Hall '-P 4 2'
loop_
_atom_site_label
_atom_site_type_symbol
_atom_site_fract_x
_atom_site_fract_y
_atom_site_fract_z
Nd1 Nd 0.0000 0.0000 0.0000
Pu1 Pu 0.0000 0.0000 0.5000
Bi1 Bi 0.5000 0.5000 0.2533


<C>
# NdPuBi2 PBE-GGA relaxed
# D(E_F) = 3.09 states/eV/atom
# size of the total moment = 5.7 μB/cell
data_NdPuBi2
_chemical_formula_sum 'Nd1 Pu1 Bi2'
_cell_length_a 5.9471
_cell_length_b 5.9471
_cell_length_c 3.4214
_cell_angle_alpha 90.00
_cell_angle_beta 90.00
_cell_angle_gamma 90.00
_symmetry_space_group_name_H-M 'P 4/m m m'
_symmetry_Int_Tables_number 123
_symmetry_space_group_name_Hall '-P 4 2'
loop_
_atom_site_label
_atom_site_type_symbol
_atom_site_fract_x
_atom_site_fract_y
_atom_site_fract_z
Nd1 Nd 0.0000 0.0000 0.0000
Pu1 Pu 0.5000 0.5000 0.0000
Bi1 Bi 0.0000 0.5000 0.5000


<D>
# NdPuBi2 PBE-GGA relaxed
# D(E_F) = 4.25 states/eV/atom
# size of the total moment = 5.2 μB/cell
data_NdPuBi2
_chemical_formula_sum 'Nd1 Pu1 Bi2'
_cell_length_a 4.5215
_cell_length_b 4.5215
_cell_length_c 7.9208
_cell_angle_alpha 90.00
_cell_angle_beta 90.00
_cell_angle_gamma 120.00
_symmetry_space_group_name_H-M 'P -3 m 1'
_symmetry_Int_Tables_number 164
_symmetry_space_group_name_Hall '-P 3 2"'
loop_
_atom_site_label
_atom_site_type_symbol
_atom_site_fract_x
_atom_site_fract_y
_atom_site_fract_z
Nd1 Nd 0.0000 0.0000 0.0000
Pu1 Pu 0.0000 0.0000 0.5000
Bi1 Bi 0.3333 0.6667 0.7454


Energetically preferred structure: <A> | next structure: +81 meV per atom


<A>
# Nd2PuBi PBE-GGA relaxed
# D(E_F) = 2.71 states/eV/atom
# size of the total moment = 18.5 μB/cell
data_Nd2PuBi
_chemical_formula_sum 'Nd6 Pu3 Bi3'
_cell_length_a 3.4954
_cell_length_b 3.4954
_cell_length_c 36.7977
_cell_angle_alpha 90.00
_cell_angle_beta 90.00
_cell_angle_gamma 120.00
_symmetry_space_group_name_H-M 'R -3 m'
_symmetry_Int_Tables_number 166
_symmetry_space_group_name_Hall '-R 3 2"'
loop_
_atom_site_label
_atom_site_type_symbol
_atom_site_fract_x
_atom_site_fract_y
_atom_site_fract_z
Nd1 Nd 0.0000 0.0000 0.0903
Pu1 Pu 0.0000 0.0000 0.0000
Bi1 Bi 0.0000 0.0000 0.5000


<B>
# Nd2PuBi PBE-GGA relaxed
# D(E_F) = 2.81 states/eV/atom
# size of the total moment = 6.9 μB/cell
data_Nd2PuBi
_chemical_formula_sum 'Nd2 Pu1 Bi1'
_cell_length_a 4.1427
_cell_length_b 4.1427
_cell_length_c 7.3156
_cell_angle_alpha 90.00
_cell_angle_beta 90.00
_cell_angle_gamma 90.00
_symmetry_space_group_name_H-M 'P 4/m m m'
_symmetry_Int_Tables_number 123
_symmetry_space_group_name_Hall '-P 4 2'
loop_
_atom_site_label
_atom_site_type_symbol
_atom_site_fract_x
_atom_site_fract_y
_atom_site_fract_z
Nd1 Nd 0.0000 0.0000 0.2339
Pu1 Pu 0.5000 0.5000 0.5000
Bi1 Bi 0.5000 0.5000 0.0000


Energetically preferred structure: <B> | next structure: +353 meV per atom